Record 1
Density functional theory data (PBE) for a relaxed structure of Sr2AlSb.

Cell lengths 8.015, 8.015, 8.015 Å; angles 90.00, 90.00, 90.00 degrees
Space group Fm-3m (No. 225)
Unique sites:
Sr (0.250, 0.250, 0.250)
Al (0.000, 0.000, 0.000)
Sb (0.000, 0.000, 0.500)

Values from the calculation:
E above lowest polymorph = 0.178 eV per atom
crystal system = cubic

Record 2
Density functional theory data (PBE) for a relaxed structure of SrAl2Sb.

Cell lengths 8.440, 8.440, 6.401 Å; angles 90.00, 90.00, 90.00 degrees
Space group I-42d (No. 122)
Unique sites:
Sr (0.000, 0.000, 0.000)
Al (0.202, 0.250, 0.625)
Sb (0.000, 0.000, 0.500)

Values from the calculation:
crystal system = tetragonal

Record 3
Density functional theory data (PBE) for a relaxed structure of Sr2AlSb.

Cell lengths 7.369, 9.391, 3.619 Å; angles 90.00, 90.00, 90.00 degrees
Space group Cmmm (No. 65)
Unique sites:
Sr (0.250, 0.250, 0.000)
Al (0.000, 0.000, 0.500)
Sb (0.000, 0.500, 0.500)

Values from the calculation:
E above lowest polymorph = 0.162 eV per atom
crystal system = orthorhombic

Record 4
Density functional theory data (PBE) for a relaxed structure of Sr2AlSb.

Cell lengths 4.1751, 4.1751, 28.8922 Å; angles 90.00, 90.00, 120.00 degrees
Space group R-3m (No. 166, hexagonal axes)
Unique sites:
Sr (0.0000, 0.0000, 0.2461)
Al (0.0000, 0.0000, 0.0000)
Sb (0.0000, 0.0000, 0.5000)

Values from the calculation:
E above lowest polymorph = 0.368 eV per atom
crystal system = trigonal

Listing energy relative to the elements, uncorrected for the structures above in their given order: -0.42; -0.13; -0.44; -0.24 eV/atom.